A plane-wave DFT calculation with PBE was carried out for a relaxed structure of YHfCoIr.

Values from the calculation:
SG   F-43m (216)
DOS at the Fermi energy   2.40 states/eV per cell
Energy of formation from the pure elements   -2.1 eV/f.u.

a = 4.691 Å, b = 4.691 Å, c = 4.691 Å
α = 60.00°, β = 60.00°, γ = 60.00°
Fractional positions:
Y 0.000 0.000 0.000
Hf 0.500 0.500 0.500
Co 0.750 0.750 0.750
Ir 0.250 0.250 0.250


A plane-wave DFT calculation with PBE was carried out for a relaxed structure of Cs10K3Rb3.

Values from the calculation:
SG   P-62m (189)
DOS at the Fermi energy   15.96 states/eV per cell
Energy of formation from the pure elements   0.3 eV/f.u.

a = 14.216 Å, b = 14.216 Å, c = 9.564 Å
α = 90.00°, β = 90.00°, γ = 120.00°
Fractional positions:
Cs 0.000 0.234 0.000
Cs 0.000 0.763 0.500
Cs 0.234 0.000 0.000
Cs 0.237 0.237 0.500
Cs 0.333 0.667 0.255
Cs 0.333 0.667 0.745
Cs 0.667 0.333 0.255
Cs 0.667 0.333 0.745
Cs 0.763 0.000 0.500
Cs 0.766 0.766 0.000
K 0.000 0.404 0.500
K 0.404 0.000 0.500
K 0.596 0.596 0.500
Rb 0.000 0.591 0.000
Rb 0.409 0.409 0.000
Rb 0.591 0.000 0.000


Q: Number 1 is which compound?
A: YHfCoIr


Q: Number 2 is which compound?
A: Cs10K3Rb3


Q: Which formula does entry 1 have?
A: YHfCoIr